No. 1
DFT (PBE) results for LaInSbI2 after structural relaxation.

abc: 6.2553 6.2553 6.2502
angles: 90.00 90.00 90.00
Site moments in Bohr magnetons follow the coordinates.
Fractional positions:
Sb (0.0000, 0.0000, 0.5000)  0.22
In (0.5000, 0.5000, 0.5000)  0.01
I (0.5000, 0.0000, 0.0000)  0.03
I (0.0000, 0.5000, 0.0000)  0.03
La (0.0000, 0.0000, 0.0000)  0.01

Calculated values
raw total energy	-17.36	eV per cell
ΔE to the lowest computed polymorph	0	meV per atom
total magnetic moment	0.7	μB/f.u.
theoretical density	4.27	Mg/m³

***

No. 2
DFT (PBE) results for LaInSbI2 after structural relaxation.

abc: 6.1267 6.8656 6.1267
angles: 90.00 90.00 90.00
Site moments in Bohr magnetons follow the coordinates.
Fractional positions:
Sb (0.5000, 0.5000, 0.5000)  0.77
I (0.5000, 0.0000, 0.0000)  0.03
I (0.0000, 0.0000, 0.5000)  0.03
In (0.0000, 0.5000, 0.0000)  -0.02
La (0.0000, 0.0000, 0.0000)  -0.05

Calculated values
raw total energy	-15.39	eV per cell
ΔE to the lowest computed polymorph	392	meV per atom
total magnetic moment	2.0	μB/f.u.
theoretical density	4.05	Mg/m³